DFT (PBE) results for a relaxed PmY6Er5 crystal.

- final energy (eV/atom) = -5.505
- formation energy from the elements (eV/atom) = 0.02
- size of the total moment (μB per atom) = 0.000
- calculated volume (A^3/atom) = 31.638

a b c (Å): 6.153 10.646 11.770
angles (deg): 90.00 99.99 90.00
Space group C2/m (No. 12)
One atom of each set of equivalent atoms:
Pm 0.000 0.000 0.000 [2 per cell]
Y 0.250 0.000 0.749 [4 per cell]
Y 0.250 0.167 0.251 [8 per cell]
Er 0.000 0.167 0.500 [4 per cell]
Er 0.000 0.333 0.000 [4 per cell]
Er 0.000 0.500 0.500 [2 per cell]